VASP calculation (PBE-GGA) on crystalline AsIrSe2 at its relaxed geometry.

Unit cell a=3.660 b=4.864 c=4.864 alpha=63.23 beta=90.00 gamma=90.00
Fractional coordinates of all 4 atoms:
As: 0.500 0.250 0.250
Ir: 0.500 0.750 0.750
Se: 0.000 0.958 0.958
Se: 0.000 0.542 0.542

Summary:
Formation energy (no corrections): -8 meV per atom
SG: Cmmm